DFT (PBE) results for an optimized crystal structure of LaSi2Os.

Calculated values
As for the space group: Pnma (62). The density comes out at 8.3 g cm⁻³. The uncorrected formation energy is -0.68 eV/atom. Its volume is 19.3 A^3/atom. Its energy is -7.428 eV per atom.

Unit cell a=7.1542 b=4.2037 c=10.2563 alpha=90.00 beta=90.00 gamma=90.00
Closest atoms and distances in Å follow each position.
Sites, in units of the cell vectors:
La 0.1530 0.2500 0.1224  8 Si 3.05-3.20, 3 Os 3.32-3.39
La 0.3470 0.7500 0.6224  8 Si 3.05-3.20, 3 Os 3.32-3.39
La 0.6530 0.2500 0.3776  8 Si 3.05-3.20, 3 Os 3.32-3.39
La 0.8470 0.7500 0.8776  8 Si 3.05-3.20, 3 Os 3.32-3.39
Si 0.1575 0.2500 0.8130  2 Os 2.40-2.50, 2 Si 2.64
Si 0.1790 0.2500 0.4189  3 Os 2.40-2.44, 2 Si 2.64
Si 0.3210 0.7500 0.9189  3 Os 2.40-2.44, 2 Si 2.64
Si 0.3425 0.7500 0.3130  2 Os 2.40-2.50, 2 Si 2.64
Si 0.6575 0.2500 0.6870  2 Os 2.40-2.50, 2 Si 2.64
Si 0.6790 0.2500 0.0811  3 Os 2.40-2.44, 2 Si 2.64
Si 0.8210 0.7500 0.5811  3 Os 2.40-2.44, 2 Si 2.64
Si 0.8425 0.7500 0.1870  2 Os 2.40-2.50, 2 Si 2.64
Os 0.0111 0.7500 0.3888  5 Si 2.40-2.50
Os 0.4889 0.2500 0.8888  5 Si 2.40-2.50
Os 0.5111 0.7500 0.1112  5 Si 2.40-2.50
Os 0.9889 0.2500 0.6112  5 Si 2.40-2.50